Entry 1:
# Be5Ru3

A relaxed structure of Be5Ru3 (PBE, Alexandria via LeMat-Bulk).

Lattice parameters (Å, degrees): 5.6714 7.4496 3.8597 90.00 90.00 90.00
Fractional positions:
Be 0.0000 0.0000 0.0000
Be 0.2071 0.5000 0.5000
Be 0.2500 0.2500 0.0000
Be 0.2500 0.7500 0.0000
Be 0.2929 0.0000 0.5000
Be 0.5000 0.5000 0.0000
Be 0.7071 0.0000 0.5000
Be 0.7500 0.2500 0.0000
Be 0.7500 0.7500 0.0000
Be 0.7929 0.5000 0.5000
Ru 0.0000 0.2112 0.5000
Ru 0.0000 0.5000 0.0000
Ru 0.0000 0.7888 0.5000
Ru 0.5000 0.0000 0.0000
Ru 0.5000 0.2888 0.5000
Ru 0.5000 0.7112 0.5000

The calculation puts the uncorrected energy at -6.0664 eV/atom. For the mass density, the calculation gives 7.09 g/cm3. As for the space group: Cmmm. The calculation puts the formation energy at -259 meV/atom. The density of states at the Fermi level is 11.280 states/eV/cell.



Entry 2:
# NiSn3Pd

A relaxed structure of NiSn3Pd (PBE, Alexandria via LeMat-Bulk).

Lattice parameters (Å, degrees): 9.4313 6.6399 7.1122 90.00 111.60 90.00
Fractional positions:
Ni 0.1277 0.0042 0.4548
Ni 0.1277 0.4958 0.9548
Ni 0.8723 0.5042 0.0452
Ni 0.8723 0.9958 0.5452
Sn 0.1462 0.1445 0.8036
Sn 0.1462 0.3555 0.3036
Sn 0.1646 0.6541 0.6375
Sn 0.1646 0.8459 0.1375
Sn 0.4208 0.0661 0.6487
Sn 0.4208 0.4339 0.1487
Sn 0.5792 0.5661 0.8513
Sn 0.5792 0.9339 0.3513
Sn 0.8354 0.1541 0.8625
Sn 0.8354 0.3459 0.3625
Sn 0.8538 0.6445 0.6964
Sn 0.8538 0.8555 0.1964
Pd 0.3925 0.6758 0.4713
Pd 0.3925 0.8242 0.9713
Pd 0.6075 0.1758 0.0287
Pd 0.6075 0.3242 0.5287

The calculation puts the uncorrected energy at -4.8397 eV/atom. For the mass density, the calculation gives 8.36 g/cm3. As for the space group: P2_1/c. The calculation puts the formation energy at -243 meV/atom. The density of states at the Fermi level is 7.884 states/eV/cell.



Entry 3:
# TbCeSmHo

A relaxed structure of TbCeSmHo (PBE, Alexandria via LeMat-Bulk).

Lattice parameters (Å, degrees): 8.0434 8.0434 8.0434 90.00 90.00 90.00
Fractional positions:
Tb 0.0000 0.0000 0.0000
Tb 0.0000 0.5000 0.5000
Tb 0.5000 0.0000 0.5000
Tb 0.5000 0.5000 0.0000
Ce 0.2500 0.2500 0.7500
Ce 0.2500 0.7500 0.2500
Ce 0.7500 0.2500 0.2500
Ce 0.7500 0.7500 0.7500
Sm 0.0000 0.0000 0.5000
Sm 0.0000 0.5000 0.0000
Sm 0.5000 0.0000 0.0000
Sm 0.5000 0.5000 0.5000
Ho 0.2500 0.2500 0.2500
Ho 0.2500 0.7500 0.7500
Ho 0.7500 0.2500 0.7500
Ho 0.7500 0.7500 0.2500

The calculation puts the uncorrected energy at -4.7700 eV/atom. For the mass density, the calculation gives 7.84 g/cm3. As for the space group: F-43m. The calculation puts the formation energy at 195 meV/atom. The density of states at the Fermi level is 42.718 states/eV/cell.



Entry 4:
# BaTmIn2

A relaxed structure of BaTmIn2 (PBE, Alexandria via LeMat-Bulk).

Lattice parameters (Å, degrees): 3.8335 3.8335 31.2247 90.00 90.00 120.00
Fractional positions:
Ba 0.0000 0.0000 0.0000
Ba 0.3333 0.6667 0.6667
Ba 0.6667 0.3333 0.3333
Tm 0.0000 0.0000 0.5000
Tm 0.3333 0.6667 0.1667
Tm 0.6667 0.3333 0.8333
In 0.0000 0.0000 0.2419
In 0.0000 0.0000 0.7581
In 0.3333 0.6667 0.4247
In 0.3333 0.6667 0.9086
In 0.6667 0.3333 0.0914
In 0.6667 0.3333 0.5753

The calculation puts the uncorrected energy at -3.1440 eV/atom. For the mass density, the calculation gives 6.72 g/cm3. As for the space group: R-3m. The calculation puts the formation energy at -176 meV/atom. The density of states at the Fermi level is 12.482 states/eV/cell.



Entry 5:
# HoTm6Tl6

A relaxed structure of HoTm6Tl6 (PBE, Alexandria via LeMat-Bulk).

Lattice parameters (Å, degrees): 6.3697 6.3697 10.4290 90.00 90.00 120.00
Fractional positions:
Ho 0.0000 0.0000 0.0000
Tm 0.0000 0.0000 0.3389
Tm 0.0000 0.0000 0.6611
Tm 0.3333 0.6667 0.0000
Tm 0.3333 0.6667 0.5000
Tm 0.6667 0.3333 0.0000
Tm 0.6667 0.3333 0.5000
Tl 0.0000 0.5000 0.2459
Tl 0.0000 0.5000 0.7541
Tl 0.5000 0.0000 0.2459
Tl 0.5000 0.0000 0.7541
Tl 0.5000 0.5000 0.2459
Tl 0.5000 0.5000 0.7541

The calculation puts the uncorrected energy at -3.6432 eV/atom. For the mass density, the calculation gives 10.90 g/cm3. As for the space group: P6/mmm. The calculation puts the formation energy at -135 meV/atom. The density of states at the Fermi level is 11.133 states/eV/cell.



Entry 6:
# Na2OsO4

A relaxed structure of Na2OsO4 (PBE, Alexandria via LeMat-Bulk).

Lattice parameters (Å, degrees): 9.6887 9.6887 3.2024 90.00 90.00 120.00
Fractional positions:
Na 0.0000 0.0000 0.0000
Na 0.0000 0.6909 0.5000
Na 0.3091 0.3091 0.5000
Na 0.3333 0.6667 0.5000
Na 0.6667 0.3333 0.5000
Na 0.6909 0.0000 0.5000
Os 0.0000 0.3279 0.0000
Os 0.3279 0.0000 0.0000
Os 0.6721 0.6721 0.0000
O 0.0000 0.1935 0.5000
O 0.0000 0.4548 0.5000
O 0.1935 0.0000 0.5000
O 0.2153 0.4319 0.0000
O 0.2167 0.7847 0.0000
O 0.4319 0.2153 0.0000
O 0.4548 0.0000 0.5000
O 0.5452 0.5452 0.5000
O 0.5681 0.7833 0.0000
O 0.7833 0.5681 0.0000
O 0.7847 0.2167 0.0000
O 0.8065 0.8065 0.5000

The calculation puts the uncorrected energy at -6.1646 eV/atom. For the mass density, the calculation gives 5.74 g/cm3. The formation energy without anion corrections is -1350 meV per atom. As for the space group: P-62m. The density of states at the Fermi level is 3.629 states/eV/cell.



Entry 7:
# RbBa2PuO5

A relaxed structure of RbBa2PuO5 (PBE, Alexandria via LeMat-Bulk).

Lattice parameters (Å, degrees): 7.3801 7.3801 7.3801 145.47 126.33 65.40
Fractional positions:
Rb 0.0000 0.0000 0.0000
Ba 0.2761 0.7761 0.5000
Ba 0.7239 0.2239 0.5000
Pu 0.5000 0.5000 0.0000
O 0.1571 0.3714 0.7857
O 0.4143 0.6286 0.7857
O 0.5000 0.0000 0.5000
O 0.5857 0.3714 0.2143
O 0.8429 0.6286 0.2143

The calculation puts the uncorrected energy at -7.4586 eV/atom. For the mass density, the calculation gives 6.27 g/cm3. The formation energy without anion corrections is -2577 meV per atom. As for the space group: Immm. The density of states at the Fermi level is 7.640 states/eV/cell.



Entry 8:
# Ba2ScInAu6

A relaxed structure of Ba2ScInAu6 (PBE, Alexandria via LeMat-Bulk).

Lattice parameters (Å, degrees): 7.5564 7.5564 7.5564 60.00 60.00 60.00
Fractional positions:
Ba 0.2500 0.2500 0.2500
Ba 0.7500 0.7500 0.7500
Sc 0.0000 0.0000 0.0000
In 0.5000 0.5000 0.5000
Au 0.2468 0.2468 0.7532
Au 0.2468 0.7532 0.2468
Au 0.2468 0.7532 0.7532
Au 0.7532 0.2468 0.2468
Au 0.7532 0.2468 0.7532
Au 0.7532 0.7532 0.2468

The calculation puts the uncorrected energy at -3.6524 eV/atom. For the mass density, the calculation gives 8.80 g/cm3. As for the space group: Fm-3m. The calculation puts the formation energy at -394 meV/atom. The density of states at the Fermi level is 3.172 states/eV/cell.



Entry 9:
# Tb2Pr5Y12

A relaxed structure of Tb2Pr5Y12 (PBE, Alexandria via LeMat-Bulk).

Lattice parameters (Å, degrees): 10.0782 10.0782 8.7533 113.00 113.00 54.58
Fractional positions:
Tb 0.1716 0.8284 0.0000
Tb 0.8284 0.1716 0.0000
Pr 0.2142 0.2142 0.2266
Pr 0.2634 0.2634 0.7031
Pr 0.5000 0.5000 0.5000
Pr 0.7366 0.7366 0.2969
Pr 0.7858 0.7858 0.7734
Y 0.0638 0.0638 0.7215
Y 0.0955 0.6528 0.5453
Y 0.1712 0.5382 0.0891
Y 0.3472 0.9045 0.4547
Y 0.4545 0.4545 0.8177
Y 0.4618 0.8288 0.9109
Y 0.5382 0.1712 0.0891
Y 0.5455 0.5455 0.1823
Y 0.6528 0.0955 0.5453
Y 0.8288 0.4618 0.9109
Y 0.9045 0.3472 0.4547
Y 0.9362 0.9362 0.2785

The calculation puts the uncorrected energy at -5.6195 eV/atom. For the mass density, the calculation gives 5.33 g/cm3. As for the space group: C2/m. The calculation puts the formation energy at 208 meV/atom. The density of states at the Fermi level is 29.470 states/eV/cell.



Entry 10:
# GaAsAu2

A relaxed structure of GaAsAu2 (PBE, Alexandria via LeMat-Bulk).

Lattice parameters (Å, degrees): 4.5012 4.5012 16.3787 90.00 90.00 90.00
Fractional positions:
Ga 0.0000 0.0000 0.0000
Ga 0.0000 0.5000 0.2500
Ga 0.5000 0.0000 0.7500
Ga 0.5000 0.5000 0.5000
As 0.0000 0.0000 0.5000
As 0.0000 0.5000 0.7500
As 0.5000 0.0000 0.2500
As 0.5000 0.5000 0.0000
Au 0.2472 0.2500 0.6250
Au 0.2500 0.7472 0.8750
Au 0.2500 0.7528 0.3750
Au 0.2528 0.2500 0.1250
Au 0.7472 0.7500 0.1250
Au 0.7500 0.2472 0.3750
Au 0.7500 0.2528 0.8750
Au 0.7528 0.7500 0.6250

The calculation puts the uncorrected energy at -3.5661 eV/atom. For the mass density, the calculation gives 10.78 g/cm3. As for the space group: I-42d. The calculation puts the formation energy at -8 meV/atom. The density of states at the Fermi level is 6.619 states/eV/cell.



Entry 11:
# TiGaTeO6

A relaxed structure of TiGaTeO6 (PBE, Alexandria via LeMat-Bulk).

Lattice parameters (Å, degrees): 5.1721 5.1721 8.7622 90.00 90.00 120.00
Fractional positions:
Ti 0.3333 0.6667 0.2500
Ti 0.6667 0.3333 0.7500
Ga 0.0000 0.0000 0.0000
Ga 0.0000 0.0000 0.5000
Te 0.3333 0.6667 0.7500
Te 0.6667 0.3333 0.2500
O 0.0105 0.3415 0.1280
O 0.0105 0.6690 0.3720
O 0.3310 0.3415 0.3720
O 0.3310 0.9895 0.1280
O 0.3415 0.0105 0.6280
O 0.3415 0.3310 0.8720
O 0.6585 0.6690 0.1280
O 0.6585 0.9895 0.3720
O 0.6690 0.0105 0.8720
O 0.6690 0.6585 0.6280
O 0.9895 0.3310 0.6280
O 0.9895 0.6585 0.8720

The calculation puts the uncorrected energy at -6.5631 eV/atom. For the mass density, the calculation gives 5.58 g/cm3. The formation energy without anion corrections is -1695 meV per atom. As for the space group: P-31c. The density of states at the Fermi level is 11.788 states/eV/cell.